(1)
# K5Na6Li

Crystalline K5Na6Li at its relaxed geometry (PBE, Alexandria via LeMat-Bulk).

Unit cell a=13.209 b=7.224 c=7.271 alpha=60.21 beta=84.56 gamma=79.00
Sites, in units of the cell vectors:
K  0.500  0.500  0.000
Na  0.237  0.922  0.700
Na  0.762  0.777  0.000
Na  0.763  0.378  0.700
Na  0.238  0.223  0.000
Na  0.763  0.078  0.300
K  0.500  0.831  0.337
K  0.500  0.169  0.663
K  0.000  0.667  0.667
Na  0.237  0.622  0.300
Li  0.000  0.000  0.000
K  0.000  0.333  0.333

raw total energy: -1.20 eV per atom
size of the total moment: 0.00 μB/cell
formation energy from the elements: 0.072 eV per atom
crystal system: monoclinic
space-group type: C2/m


(2)
# LaVMo3

Crystalline LaVMo3 at its relaxed geometry (PBE, Alexandria via LeMat-Bulk).

Unit cell a=4.764 b=4.764 c=4.764 alpha=90.00 beta=90.00 gamma=90.00
Last column: magnetic moment on the atom in μB.
Sites, in units of the cell vectors:
Mo  0.500  0.000  0.000  0.10
Mo  0.000  0.500  0.000  0.10
La  0.000  0.000  0.000  -0.01
Mo  0.000  0.000  0.500  0.10
V  0.500  0.500  0.500  -2.48

raw total energy: -6.99 eV per atom
size of the total moment: 2.74 μB/cell
formation energy from the elements: 2.315 eV per atom
crystal system: cubic
space-group type: Pm-3m


Which of these has the highest formation energy from the elements? LaVMo3


Number 1 is which compound? K5Na6Li


Which of these has the lowest raw total energy? LaVMo3


Among the records above, which one has the highest formation energy from the elements? LaVMo3